[1]
VASP calculation (PBE) on a relaxed structure of Ca12GaHg6.

Values from the calculation:
As for the crystal system: trigonal. The formation energy is -0.271 eV per atom. Its total magnetization is 0.000 μB per atom. For the density of states at the Fermi level, the calculation gives 16.064 states/eV per cell. The total energy is -0.0658 Ha/atom.

a b c (Å): 8.9527 8.9527 8.9527
angles (deg): 100.36 100.36 100.36
Positions (direct):
Ca (0.4401, 0.8186, 0.5850)
Ga (0.0000, 0.0000, 0.0000)
Hg (0.8679, 0.3602, 0.6812)
Hg (0.1321, 0.6398, 0.3188)
Ca (0.5850, 0.4401, 0.8186)
Hg (0.6812, 0.8679, 0.3602)
Ca (0.6791, 0.9283, 0.0253)
Hg (0.3602, 0.6812, 0.8679)
Ca (0.8186, 0.5850, 0.4401)
Hg (0.6398, 0.3188, 0.1321)
Ca (0.9747, 0.3209, 0.0717)
Ca (0.1814, 0.4150, 0.5599)
Hg (0.3188, 0.1321, 0.6398)
Ca (0.0253, 0.6791, 0.9283)
Ca (0.0717, 0.9747, 0.3209)
Ca (0.3209, 0.0717, 0.9747)
Ca (0.9283, 0.0253, 0.6791)
Ca (0.5599, 0.1814, 0.4150)
Ca (0.4150, 0.5599, 0.1814)



[2]
VASP calculation (PBE) on a relaxed structure of SbS4.

Values from the calculation:
As for the crystal system: triclinic. The calculation puts the polymorph energy (0 for the lowest one) at 0.000 eV/atom. The value obtained for the energy relative to the elements, uncorrected is 0.081 eV/atom. Its total magnetization is 0.000 μB per atom. For the density of states at the Fermi level, the calculation gives 2.794 states/eV per cell. The total energy is -0.1487 Ha/atom.

a b c (Å): 3.8571 3.8570 10.9852
angles (deg): 76.44 77.44 57.17
Positions (direct):
S (0.8634, 0.8580, 0.5475)
S (0.3829, 0.3982, 0.8555)
S (0.6171, 0.6018, 0.1445)
S (0.1366, 0.1420, 0.4525)
Sb (0.0000, 0.0000, 0.0000)



[3]
VASP calculation (PBE) on a relaxed structure of PmSm6Y12.

Values from the calculation:
As for the crystal system: trigonal. The calculation puts the polymorph energy (0 for the lowest one) at 0.424 eV/atom. The formation energy is 0.441 eV per atom. Its total magnetization is 0.001 μB per atom. For the density of states at the Fermi level, the calculation gives 28.023 states/eV per cell. The total energy is -0.1978 Ha/atom.

a b c (Å): 8.9037 8.9037 8.9037
angles (deg): 99.87 99.87 99.87
Positions (direct):
Y (0.5000, 0.8828, 0.1172)
Y (0.5353, 0.5353, 0.8205)
Pm (0.0000, 0.0000, 0.0000)
Y (0.1795, 0.4647, 0.4647)
Y (0.4647, 0.1795, 0.4647)
Y (0.8828, 0.1172, 0.5000)
Sm (0.2104, 0.2104, 0.7487)
Y (0.5000, 0.1172, 0.8828)
Y (0.5353, 0.8205, 0.5353)
Sm (0.2104, 0.7487, 0.2104)
Y (0.1172, 0.8828, 0.5000)
Sm (0.7896, 0.2513, 0.7896)
Sm (0.7487, 0.2104, 0.2104)
Y (0.8828, 0.5000, 0.1172)
Sm (0.2513, 0.7896, 0.7896)
Y (0.8205, 0.5353, 0.5353)
Y (0.4647, 0.4647, 0.1795)
Y (0.1172, 0.5000, 0.8828)
Sm (0.7896, 0.7896, 0.2513)



[4]
VASP calculation (PBE) on a relaxed structure of CaNiRh.

Values from the calculation:
As for the crystal system: trigonal. The formation energy is 0.400 eV per atom. Its total magnetization is 0.182 μB per atom. For the density of states at the Fermi level, the calculation gives 4.230 states/eV per cell. The total energy is -0.1707 Ha/atom.

a b c (Å): 3.0461 3.0461 6.4964
angles (deg): 90.00 90.00 120.00
Last column: magnetic moment on the atom in μB.
Positions (direct):
Ni (0.6667, 0.3333, 0.3575)  0.40
Rh (0.3333, 0.6667, 0.6444)  0.25
Ca (0.0000, 0.0000, 0.9982)  -0.03



[5]
VASP calculation (PBE) on a relaxed structure of ScMo2Rh.

Values from the calculation:
As for the crystal system: tetragonal. The calculation puts the polymorph energy (0 for the lowest one) at 0.093 eV/atom. The formation energy is -0.125 eV per atom. Its total magnetization is 0.000 μB per atom. For the density of states at the Fermi level, the calculation gives 4.075 states/eV per cell. The total energy is -0.3293 Ha/atom.

a b c (Å): 4.7984 3.7170 3.7170
angles (deg): 90.00 90.00 90.00
Positions (direct):
Mo (0.0000, 0.0000, 0.0000)
Rh (0.5000, 0.5000, 0.0000)
Sc (0.5000, 0.0000, 0.5000)
Mo (0.0000, 0.5000, 0.5000)



[6]
VASP calculation (PBE) on a relaxed structure of Y2TmInO.

Values from the calculation:
As for the crystal system: tetragonal. The value obtained for the energy relative to the elements, uncorrected is -1.422 eV/atom. Its total magnetization is 0.000 μB per atom. For the density of states at the Fermi level, the calculation gives 2.228 states/eV per cell. The total energy is -0.2367 Ha/atom.

a b c (Å): 4.6641 4.8230 4.8230
angles (deg): 90.00 90.00 90.00
Positions (direct):
Tm (0.5000, 0.0000, 0.0000)
In (0.5000, 0.5000, 0.5000)
Y (0.0000, 0.0000, 0.5000)
Y (0.0000, 0.5000, 0.0000)
O (0.0000, 0.0000, 0.0000)



[7]
VASP calculation (PBE) on a relaxed structure of La2ZnGa7.

Values from the calculation:
As for the crystal system: tetragonal. The formation energy is -0.507 eV per atom. Its total magnetization is 0.000 μB per atom. For the density of states at the Fermi level, the calculation gives 2.791 states/eV per cell. The total energy is -0.1374 Ha/atom.

a b c (Å): 4.4290 4.4290 10.4829
angles (deg): 90.00 90.00 90.00
Positions (direct):
Ga (0.0000, 0.0000, 0.5000)
Ga (0.0000, 0.5000, 0.8700)
Ga (0.5000, 0.5000, 0.5000)
Ga (0.0000, 0.0000, 0.0000)
La (0.0000, 0.5000, 0.2498)
Ga (0.0000, 0.5000, 0.6319)
La (0.5000, 0.0000, 0.7502)
Ga (0.5000, 0.0000, 0.1300)
Ga (0.5000, 0.0000, 0.3681)
Zn (0.5000, 0.5000, 0.0000)



[8]
VASP calculation (PBE) on a relaxed structure of Ac2La2Tl.

Values from the calculation:
As for the crystal system: orthorhombic. The calculation puts the polymorph energy (0 for the lowest one) at 0.000 eV/atom. The formation energy is -0.079 eV per atom. Its total magnetization is 0.000 μB per atom. For the density of states at the Fermi level, the calculation gives 28.725 states/eV per cell. The total energy is -0.1531 Ha/atom.

a b c (Å): 5.4372 11.7471 12.0806
angles (deg): 90.00 90.00 90.00
Positions (direct):
Ac (0.7500, 0.9196, 0.4458)
La (0.7500, 0.7571, 0.1576)
La (0.7500, 0.9885, 0.7503)
Tl (0.2500, 0.7601, 0.3680)
Ac (0.7500, 0.5885, 0.4496)
Ac (0.2500, 0.0804, 0.5542)
Tl (0.7500, 0.2399, 0.6320)
La (0.2500, 0.5115, 0.2503)
Ac (0.7500, 0.4196, 0.0542)
Ac (0.2500, 0.5804, 0.9458)
Ac (0.2500, 0.4115, 0.5504)
Ac (0.2500, 0.9115, 0.9496)
Ac (0.7500, 0.0885, 0.0504)
La (0.7500, 0.4885, 0.7497)
La (0.2500, 0.0115, 0.2497)
La (0.2500, 0.7429, 0.6576)
La (0.7500, 0.2571, 0.3424)
La (0.2500, 0.2429, 0.8424)
Tl (0.7500, 0.7399, 0.8680)
Tl (0.2500, 0.2601, 0.1320)



[9]
VASP calculation (PBE) on a relaxed structure of SrLaAlAg.

Values from the calculation:
As for the crystal system: cubic. The formation energy is -0.224 eV per atom. Its total magnetization is 0.000 μB per atom. For the density of states at the Fermi level, the calculation gives 3.540 states/eV per cell. The total energy is -0.1295 Ha/atom.

a b c (Å): 5.4823 5.4823 5.4823
angles (deg): 60.00 60.00 60.00
Positions (direct):
Ag (0.2500, 0.2500, 0.2500)
Sr (0.5000, 0.5000, 0.5000)
Al (0.7500, 0.7500, 0.7500)
La (0.0000, 0.0000, 0.0000)



[10]
VASP calculation (PBE) on a relaxed structure of RbCaNbTeSe.

Values from the calculation:
As for the crystal system: monoclinic. The calculation puts the polymorph energy (0 for the lowest one) at 0.011 eV/atom. The value obtained for the energy relative to the elements, uncorrected is -0.703 eV/atom. Its total magnetization is 0.198 μB per atom. For the density of states at the Fermi level, the calculation gives 8.589 states/eV per cell. The total energy is -0.1704 Ha/atom.

a b c (Å): 3.8888 3.8606 18.9596
angles (deg): 90.00 90.99 90.00
Last column: magnetic moment on the atom in μB.
Positions (direct):
Nb (0.4710, 0.0000, 0.9575)  0.73
Rb (0.4554, 0.5000, 0.2570)  0.01
Ca (0.9794, 0.0000, 0.5627)  0.00
Rb (0.4554, 0.0000, 0.7570)  0.01
Te (0.9662, 0.0000, 0.3979)  -0.02
Nb (0.4710, 0.5000, 0.4575)  0.73
Se (0.4835, 0.0000, 0.1052)  0.01
Se (0.4835, 0.5000, 0.6052)  0.01
Ca (0.9794, 0.5000, 0.0627)  0.00
Te (0.9662, 0.5000, 0.8979)  -0.02



[11]
VASP calculation (PBE) on a relaxed structure of Ce2Pr3SmTe6.

Values from the calculation:
As for the crystal system: monoclinic. The value obtained for the energy relative to the elements, uncorrected is -1.412 eV/atom. Its total magnetization is 0.204 μB per atom. For the density of states at the Fermi level, the calculation gives 17.936 states/eV per cell. The total energy is -0.2043 Ha/atom.

a b c (Å): 4.4785 9.0672 10.0820
angles (deg): 103.39 102.83 90.00
Last column: magnetic moment on the atom in μB.
Positions (direct):
Pr (0.8338, 0.1664, 0.6676)  0.01
Pr (0.1662, 0.8336, 0.3324)  0.01
Ce (0.1670, 0.3349, 0.3341)  0.97
Te (0.6651, 0.0855, 0.3303)  -0.01
Sm (0.5000, 0.0000, 0.0000)  0.03
Te (0.3329, 0.4176, 0.6657)  -0.01
Te (0.9989, 0.7542, 0.9979)  0.00
Ce (0.8330, 0.6651, 0.6659)  0.97
Te (0.6671, 0.5824, 0.3343)  -0.01
Te (0.3349, 0.9145, 0.6697)  -0.01
Te (0.0011, 0.2458, 0.0021)  0.00
Pr (0.5000, 0.5000, 0.0000)  0.01



[12]
VASP calculation (PBE) on a relaxed structure of CaMn2Cu.

Values from the calculation:
As for the crystal system: orthorhombic. The formation energy is 0.487 eV per atom. Its total magnetization is 1.834 μB per atom. For the density of states at the Fermi level, the calculation gives 3.157 states/eV per cell. The total energy is -0.2066 Ha/atom.

a b c (Å): 5.3526 5.3526 5.3526
angles (deg): 141.39 130.48 64.49
Last column: magnetic moment on the atom in μB.
Positions (direct):
Mn (0.0305, 0.0305, 0.0000)  3.47
Cu (0.2278, 0.7278, 0.5000)  0.11
Ca (0.4831, 0.4831, 0.0000)  -0.07
Mn (0.7586, 0.2586, 0.5000)  3.72



Question: The highest total magnetization belongs to which entry?
Answer: CaMn2Cu



Question: What is the formula in the fourth record?
Answer: CaNiRh